VASP calculation (PBE) on a geometry-optimized LaInI2 structure. Values from VASP.

Quantum ESPRESSO input file:
```
&SYSTEM
  ibrav = 0, nat = 4, ntyp = 3
/
ATOMIC_SPECIES
In 114.82 In.upf
I 126.90 I.upf
La 138.91 La.upf
ATOMIC_POSITIONS crystal
In 0.0000 0.0000 0.0000
I 0.7500 0.7500 0.7500
I 0.2500 0.2500 0.2500
La 0.5000 0.5000 0.5000
CELL_PARAMETERS angstrom
0.0000 4.0543 4.0543
4.0543 0.0000 4.0543
4.0543 4.0543 0.0000
```

## Properties
Spin magnetization   1.52 μB/f.u.
Symmetry   Fm-3m
Density of states at the Fermi level   3.92 states/eV/f.u.
Formation energy from raw total energies   -0.65 eV per atom